# 1
The following is a GGA-PBE calculation of a geometry-optimized Pm2As4Rh5 structure, from Alexandria.

Structure (extended XYZ):
```
11
Lattice="5.568 0.000 0.000 2.784 4.925 0.000 2.784 0.000 7.468" Properties=species:S:1:pos:R:3 pbc="T T T"
Pm 5.568 0.000 1.967
As 8.351 3.380 5.545
Rh 6.959 2.463 3.734
Rh 1.392 2.463 0.000
Rh 2.784 0.000 0.000
Rh 4.176 2.463 0.000
As 5.568 1.545 5.545
As 2.784 1.545 1.923
As 5.568 3.380 1.923
Pm 2.784 0.000 5.501
Rh 4.176 2.463 3.734
```

Output
* total DFT energy (no corrections): -72.953 eV per formula unit
* symmetry: No. 69
* total magnetization: 0.00 μB/atom
* ΔH_f (0 K): -0.736 eV/atom

***

# 2
The following is a GGA-PBE calculation of a geometry-optimized Si2TcTe structure, from Alexandria.

Structure (extended XYZ):
```
4
Lattice="-3.047 -2.698 0.379 3.778 -1.144 3.278 -1.124 0.939 3.824" Properties=species:S:1:pos:R:3 pbc="T T T"
Si 0.000 0.000 0.000
Tc 1.327 -0.102 3.551
Te 0.366 -1.921 1.828
Si -2.086 -0.879 2.101
```

Output
* total DFT energy (no corrections): -22.143 eV per formula unit
* symmetry: No. 69
* total magnetization: 0.00 μB/atom

***

# 3
The following is a GGA-PBE calculation of a geometry-optimized AlPbSeN2 structure, from Alexandria.

Structure (extended XYZ):
```
5
Lattice="-3.638 0.680 2.212 2.087 -0.816 3.683 1.372 5.736 0.493" Properties=species:S:1:pos:R:3 pbc="T T T"
N -1.819 0.340 1.106
Al -0.089 2.800 3.194
Se 0.686 2.868 0.247
N 1.044 -0.408 1.842
Pb 0.000 0.000 0.000
```

Output
* total DFT energy (no corrections): -19.768 eV per formula unit
* symmetry: No. 123
* total magnetization: 0.46 μB/atom
* energy relative to the lowest polymorph listed for this composition: 95.0 kJ per mole of atoms

***

# 4
The following is a GGA-PBE calculation of a geometry-optimized Na2ZnAu structure, from Alexandria.

Structure (extended XYZ):
```
4
Lattice="-2.100 -3.683 -1.104 3.622 -2.344 0.932 -1.375 -0.466 4.168" Properties=species:S:1:pos:R:3 pbc="T T T"
Na -0.687 -0.233 2.084
Zn 0.073 -3.247 1.998
Au -1.050 -1.841 -0.552
Na 1.811 -1.172 0.466
```

Output
* total DFT energy (no corrections): -7.643 eV per formula unit
* symmetry: No. 123
* total magnetization: 0.00 μB/atom
* ΔH_f (0 K): -0.113 eV/atom

***

# 5
The following is a GGA-PBE calculation of a geometry-optimized BeRu2 structure, from Alexandria.

Structure (extended XYZ):
```
3
Lattice="3.816 0.000 0.000 0.000 3.816 0.000 0.000 0.000 2.713" Properties=species:S:1:pos:R:3 pbc="T T T"
Ru 1.908 0.000 1.356
Be 0.000 0.000 0.000
Ru 0.000 1.908 1.356
```

Output
* total DFT energy (no corrections): -20.773 eV per formula unit
* symmetry: No. 123
* total magnetization: 0.20 μB/atom
* ΔH_f (0 K): 0.502 eV/atom

***

# 6
The following is a GGA-PBE calculation of a geometry-optimized Rb2VCl4 structure, from Alexandria.

Structure (extended XYZ):
```
7
Lattice="-4.379 1.417 1.996 -1.549 -4.772 -0.011 0.120 -2.696 8.482" Properties=species:S:1:pos:R:3 pbc="T T T"
V 0.000 0.000 0.000
Rb -3.725 -4.083 7.337
Cl -4.982 -3.668 4.282
Cl -0.774 -2.386 -0.006
Rb -2.084 -1.968 3.130
Cl -2.190 0.708 0.998
Cl -0.826 -2.384 6.184
```

Output
* total DFT energy (no corrections): -29.655 eV per formula unit
* symmetry: No. 139
* total magnetization: 0.43 μB/atom

***

# 7
The following is a GGA-PBE calculation of a geometry-optimized Sm3Sc2In2 structure, from Alexandria.

Structure (extended XYZ):
```
7
Lattice="-1.509 -1.625 -2.370 1.415 -4.629 2.273 -9.801 2.372 4.615" Properties=species:S:1:pos:R:3 pbc="T T T"
Sm -3.137 -2.289 3.568
Sc -0.569 -2.308 1.945
Sm 0.000 0.000 0.000
Sc -7.817 0.050 4.943
In -3.338 -0.795 0.448
Sm -5.249 0.032 3.321
In -6.557 -3.088 4.070
```

Output
* total DFT energy (no corrections): -32.522 eV per formula unit
* symmetry: No. 10
* total magnetization: 0.10 μB/atom
* ΔH_f (0 K): -0.032 eV/atom

***

# 8
The following is a GGA-PBE calculation of a geometry-optimized AlRhCl2 structure, from Alexandria.

Structure (extended XYZ):
```
4
Lattice="3.053 0.000 0.000 0.000 5.381 0.022 0.000 5.374 4.201" Properties=species:S:1:pos:R:3 pbc="T T T"
Rh 1.527 5.377 2.111
Al 0.000 2.687 2.100
Cl 1.527 2.691 0.011
Cl 0.000 0.000 0.000
```

Output
* total DFT energy (no corrections): -14.728 eV per formula unit
* symmetry: No. 10
* total magnetization: 0.00 μB/atom
* energy relative to the lowest polymorph listed for this composition: 58.7 kJ per mole of atoms

***

# 9
The following is a GGA-PBE calculation of a geometry-optimized RbNdTl2I6 structure, from Alexandria.

Structure (extended XYZ):
```
10
Lattice="-6.106 6.212 0.971 -4.490 2.862 -6.960 -8.891 -2.426 -0.785" Properties=species:S:1:pos:R:3 pbc="T T T"
I -7.866 3.582 -6.698
I -10.594 7.039 -3.191
I -6.617 3.575 -1.211
Rb -13.575 6.043 -5.316
Tl -8.744 -2.276 -0.819
Tl -9.412 3.661 -3.461
I -9.441 0.128 -3.237
I -11.700 2.872 -0.875
I -12.380 2.609 -5.079
Nd -3.655 2.899 -1.968
```

Output
* total DFT energy (no corrections): -31.101 eV per formula unit
* symmetry: No. 146
* total magnetization: 0.00 μB/atom

***

# 10
The following is a GGA-PBE calculation of a geometry-optimized LiGa2Mo structure, from Alexandria.

Structure (extended XYZ):
```
4
Lattice="0.000 3.115 3.115 3.115 0.000 3.115 3.115 3.115 0.000" Properties=species:S:1:pos:R:3 pbc="T T T"
Li 0.000 0.000 0.000
Ga 1.558 1.558 1.558
Ga 4.673 4.673 4.673
Mo 3.115 3.115 3.115
```

Output
* total DFT energy (no corrections): -18.700 eV per formula unit
* symmetry: No. 225
* total magnetization: 0.15 μB/atom
* energy relative to the lowest polymorph listed for this composition: 16.8 kJ per mole of atoms
* ΔH_f (0 K): 0.025 eV/atom

***

# 11
The following is a GGA-PBE calculation of a geometry-optimized TaBe9Co2 structure, from Alexandria.

Structure (extended XYZ):
```
12
Lattice="4.111 0.000 1.223 1.873 3.659 1.223 0.116 0.071 7.126" Properties=species:S:1:pos:R:3 pbc="T T T"
Be 3.618 2.212 6.709
Be 2.483 1.518 2.864
Co 0.907 0.555 4.471
Be 1.993 1.219 0.820
Ta 0.000 0.000 0.000
Be 4.577 1.518 3.487
Be 3.050 1.865 4.787
Be 2.664 0.348 6.086
Be 3.437 3.382 3.487
Be 1.524 2.212 6.086
Be 4.107 2.511 8.754
Co 5.194 3.176 5.102
```

Output
* total DFT energy (no corrections): -61.949 eV per formula unit
* symmetry: No. 166
* total magnetization: 0.06 μB/atom
* ΔH_f (0 K): -0.196 eV/atom

***

# 12
The following is a GGA-PBE calculation of a geometry-optimized Ti4TlTc structure, from Alexandria.

Structure (extended XYZ):
```
6
Lattice="4.477 0.000 0.000 2.239 3.875 0.232 2.239 0.871 7.152" Properties=species:S:1:pos:R:3 pbc="T T T"
Ti 6.716 3.738 2.584
Tc 0.000 0.000 0.000
Ti 4.477 2.202 6.566
Tl 4.477 2.373 3.692
Ti 2.239 1.009 4.800
Ti 4.477 2.544 0.818
```

Output
* total DFT energy (no corrections): -42.763 eV per formula unit
* symmetry: No. 166
* total magnetization: 0.00 μB/atom
* ΔH_f (0 K): 0.258 eV/atom

***

- Which of these has the highest total magnetization?
  AlPbSeN2